CaTl2Br: optimized geometry, GGA-PBE.

Computed properties:
electronic total energy = -2.5672 eV per atom
E above lowest polymorph = 235 meV/atom

abc: 4.653 4.653 6.136
angles: 90.00 90.00 90.00
Atoms (fractional coordinates):
Tl  0.000  0.000  0.998
Tl  0.000  0.000  0.502
Ca  0.500  0.500  0.750
Br  0.500  0.500  0.250